[1]
Material: Be2BiAs
Method: DFT, GGA-PBE
State: relaxed

The structure in extended XYZ format:
```
8
Lattice="5.713 0.000 0.000 0.000 5.713 0.000 2.857 2.857 5.095" Properties=species:S:1:pos:R:3 pbc="T T T"
Be 3.949 1.428 1.274
Be 4.285 4.621 3.821
As 2.857 2.857 0.000
Be 1.764 4.285 1.274
Bi 5.713 2.857 2.548
Be 7.141 6.805 3.821
As 2.857 5.713 2.548
Bi 0.000 0.000 0.000
```

Properties
The formation enthalpy at 0 K comes out at 0.255 eV/atom. Its density of states at the Fermi level is 0.70 states/eV/f.u. The calculation puts the relative energy among the computed polymorphs at 0.0000 eV/atom. As for the crystal system: tetragonal. The calculated total energy is -3.7405 eV/atom. Its total magnetization is 0.00 μB/cell.

---

[2]
Material: CsTa2CuBi
Method: DFT, GGA-PBE
State: relaxed

The structure in extended XYZ format:
```
5
Lattice="5.123 0.000 0.000 0.000 5.980 0.000 0.000 0.000 5.123" Properties=species:S:1:pos:R:3 pbc="T T T"
Ta 2.561 0.000 0.000
Cu 2.561 2.990 2.561
Bi 0.000 2.990 0.000
Ta 0.000 0.000 2.561
Cs 0.000 0.000 0.000
```

Properties
The formation enthalpy at 0 K comes out at 3.191 eV/atom. Its density of states at the Fermi level is 6.20 states/eV/f.u. As for the crystal system: tetragonal. The calculated total energy is -3.3162 eV/atom. Its total magnetization is 0.01 μB/cell.

---

[3]
Material: SrW2Br
Method: DFT, GGA-PBE
State: relaxed

The structure in extended XYZ format:
```
4
Lattice="-0.228 -6.031 3.053 3.741 5.503 1.212 -0.641 0.721 3.132" Properties=species:S:1:pos:R:3 pbc="T T T"
Sr 1.550 3.112 2.172
Br -0.435 -2.655 3.092
W 0.000 0.000 0.000
W 1.756 -0.264 2.133
```

Properties
Its density of states at the Fermi level is 4.41 states/eV/f.u. The calculation puts the relative energy among the computed polymorphs at 0.5954 eV/atom. As for the crystal system: monoclinic. The calculated total energy is -6.4879 eV/atom. Its total magnetization is 0.00 μB/cell.

---

[4]
Material: LaY2IrN4
Method: DFT, GGA-PBE
State: relaxed

The structure in extended XYZ format:
```
16
Lattice="-1.995 2.654 -0.926 1.862 -2.677 -5.269 -9.366 -6.963 0.228" Properties=species:S:1:pos:R:3 pbc="T T T"
Y -5.047 -2.202 -1.852
Ir -2.085 -2.141 -1.641
N -6.464 -3.657 -2.965
La -6.830 -5.525 -1.115
N -6.252 -6.428 -4.951
N -3.247 -0.558 -1.016
Y -8.318 -7.657 -4.021
N -8.782 -5.380 -2.909
Ir -7.414 -4.845 -4.326
N -0.717 -1.606 -3.058
Y -1.181 0.671 -1.946
Y -4.453 -4.783 -4.115
N -4.683 -3.481 0.114
N -3.035 -3.329 -3.002
La -2.669 -1.461 -4.852
N 0.000 0.000 0.000
```

Properties
Its density of states at the Fermi level is 2.94 states/eV/f.u. As for the crystal system: orthorhombic. The calculated total energy is -8.4490 eV/atom. Its total magnetization is 0.00 μB/cell.

---

[5]
Material: InHgW3
Method: DFT, GGA-PBE
State: relaxed

The structure in extended XYZ format:
```
5
Lattice="-3.832 -2.933 1.049 1.629 -0.469 4.639 -2.655 3.946 1.332" Properties=species:S:1:pos:R:3 pbc="T T T"
In -2.429 0.271 3.510
Hg 0.000 0.000 0.000
W 0.815 -0.235 2.319
W -1.328 1.973 0.666
W -1.916 -1.467 0.524
```

Properties
The formation enthalpy at 0 K comes out at 2.889 eV/atom. Its density of states at the Fermi level is 9.37 states/eV/f.u. The calculation puts the relative energy among the computed polymorphs at 0.0146 eV/atom. As for the crystal system: cubic. The calculated total energy is -5.4905 eV/atom. Its total magnetization is 0.00 μB/cell.

---

[6]
Material: La3Pm6Y2Sc
Method: DFT, GGA-PBE
State: relaxed

The structure in extended XYZ format:
```
12
Lattice="-5.274 1.847 -2.898 -0.098 -4.979 3.851 -0.725 8.144 8.794" Properties=species:S:1:pos:R:3 pbc="T T T"
Y -1.824 -2.702 1.600
Pm -2.342 2.326 1.249
Y -3.548 -0.429 -0.648
La -1.324 0.232 7.121
Pm -4.210 -0.379 2.846
Sc 0.000 0.000 0.000
Pm -0.638 0.079 3.470
Pm -5.459 4.933 6.277
La -4.773 4.780 2.625
Pm -1.887 5.391 6.901
Pm -3.755 2.686 8.498
La -3.048 2.506 4.873
```

Properties
The formation enthalpy at 0 K comes out at 0.033 eV/atom. Its density of states at the Fermi level is 18.95 states/eV/f.u. As for the crystal system: monoclinic. The calculated total energy is -5.1795 eV/atom. Its total magnetization is 0.00 μB/cell.

---

[7]
Material: Cr2ReCl
Method: DFT, GGA-PBE
State: relaxed

The structure in extended XYZ format:
```
4
Lattice="-1.023 -4.680 -1.838 2.313 -4.137 1.966 -3.028 4.072 0.761" Properties=species:S:1:pos:R:3 pbc="T T T"
Cr 0.035 -0.238 0.003
Re 0.624 -4.269 0.062
Cr -1.704 -2.501 -0.507
Cl -0.048 -2.146 1.394
```

Properties
Its density of states at the Fermi level is 3.92 states/eV/f.u. The calculation puts the relative energy among the computed polymorphs at 0.5315 eV/atom. As for the crystal system: orthorhombic. The calculated total energy is -7.6871 eV/atom. Its total magnetization is 0.79 μB/cell.

---

[8]
Material: NaTlC
Method: DFT, GGA-PBE
State: relaxed

The structure in extended XYZ format:
```
6
Lattice="3.795 0.002 -0.003 1.818 7.108 -0.010 -0.078 1.307 5.820" Properties=species:S:1:pos:R:3 pbc="T T T"
Tl 4.587 6.937 0.184
C 2.602 7.557 4.021
C 2.604 6.504 4.743
Na 2.691 3.238 0.382
Na 4.498 5.910 3.187
Tl 0.788 2.729 3.416
```

Properties
The formation enthalpy at 0 K comes out at 0.421 eV/atom. Its density of states at the Fermi level is 0.46 states/eV/f.u. As for the crystal system: triclinic. The calculated total energy is -3.8819 eV/atom. Its total magnetization is 0.00 μB/cell.

---

Which formula does entry 7 have? Cr2ReCl

---

Which of these has the lowest calculated total energy? LaY2IrN4

---

Which of these has the lowest calculated total energy? LaY2IrN4

---

density of states at the Fermi level of number 1 (Be2BiAs)? 0.70 states/eV/f.u.